(1)
# LiPt2Rh2 | Alexandria | PBE | optimized geometry
# Energy relative to the elements in kJ/mol of formula units: -7
# D(E_F) in states/eV/f.u.: 7.70
data_LiPt2Rh2
_chemical_formula_sum 'Li2 Pt4 Rh4'
_cell_length_a 7.724
_cell_length_b 7.724
_cell_length_c 2.733
_cell_angle_alpha 90.00
_cell_angle_beta 90.00
_cell_angle_gamma 90.00
_space_group_name_H-M_alt 'P 4/m b m'
_space_group_IT_number 127
_space_group_name_Hall '-P 4 2ab'
loop_
_atom_site_label
_atom_site_type_symbol
_atom_site_fract_x
_atom_site_fract_y
_atom_site_fract_z
Li1 Li 0.000 0.000 0.000
Pt1 Pt 0.124 0.376 0.000
Rh1 Rh 0.176 0.676 0.500

(2)
# Li2PtRh | Alexandria | PBE | optimized geometry
# Energy relative to the elements in kJ/mol of formula units: -153
# D(E_F) in states/eV/f.u.: 2.59
data_Li2PtRh
_chemical_formula_sum 'Li4 Pt2 Rh2'
_cell_length_a 2.761
_cell_length_b 4.617
_cell_length_c 8.638
_cell_angle_alpha 90.00
_cell_angle_beta 90.00
_cell_angle_gamma 90.00
_space_group_name_H-M_alt 'I m m m'
_space_group_IT_number 71
_space_group_name_Hall '-I 2 2'
loop_
_atom_site_label
_atom_site_type_symbol
_atom_site_fract_x
_atom_site_fract_y
_atom_site_fract_z
Li1 Li 0.000 0.000 0.249
Pt1 Pt 0.000 0.500 0.000
Rh1 Rh 0.000 0.500 0.500